# FePd3Pt3

Crystalline FePd3Pt3 at its relaxed geometry (PBE-GGA, Alexandria).

Properties
- DFT total energy: -0.43838 Ry per atom
- Formation energy from the elements: 58.9 meV/atom
- Calculated density: 14.0 g cm⁻³
- Spin magnetization: 9.800 Bohr magnetons per cell

Unit cell a=3.965 b=8.521 c=8.521 alpha=127.44 beta=90.00 gamma=90.00
Fractional coordinates of all 14 atoms:
Pt 0.250 0.654 0.782
Pt 0.750 0.940 0.060
Pt 0.250 0.060 0.940
Pd 0.750 0.185 0.815
Fe 0.250 0.574 0.426
Pd 0.750 0.556 0.933
Fe 0.750 0.426 0.574
Pd 0.250 0.815 0.185
Pd 0.250 0.444 0.067
Pd 0.250 0.933 0.556
Pt 0.750 0.782 0.654
Pt 0.750 0.346 0.218
Pt 0.250 0.218 0.346
Pd 0.750 0.067 0.444

# Sc2AlCo

Crystalline Sc2AlCo at its relaxed geometry (PBE-GGA, Alexandria).

Properties
- DFT total energy: -0.45489 Ry per atom
- Formation energy from the elements: -311.2 meV/atom
- Calculated density: 4.1 g cm⁻³
- Spin magnetization: 0.063 Bohr magnetons per cell

Unit cell a=3.002 b=3.002 c=7.878 alpha=90.00 beta=90.00 gamma=90.00
Fractional coordinates of all 4 atoms:
Co 0.500 0.500 0.726
Sc 0.500 0.500 0.287
Al 0.000 0.000 0.555
Sc 0.000 0.000 0.932

# Rb2Au2I

Crystalline Rb2Au2I at its relaxed geometry (PBE-GGA, Alexandria).

Properties
- Energy above the lowest structure with this stoichiometry: 146.3 meV per atom
- ΔE_f (raw): -334 meV per atom
- DFT total energy: -0.17210 Ry per atom
- Calculated density: 5.2 g cm⁻³
- Spin magnetization: 0.000 Bohr magnetons per cell

Unit cell a=9.766 b=9.766 c=4.612 alpha=90.00 beta=90.00 gamma=90.00
Fractional coordinates of all 10 atoms:
I 0.000 0.000 0.000
Rb 0.315 0.815 0.000
Rb 0.185 0.315 0.000
Au 0.904 0.404 0.500
Rb 0.815 0.685 0.000
Au 0.596 0.904 0.500
Rb 0.685 0.185 0.000
Au 0.404 0.096 0.500
Au 0.096 0.596 0.500
I 0.500 0.500 0.000

- What is the spin magnetization in the first record?
  9.800 Bohr magnetons per cell

- What is the formula in the second record?
  Sc2AlCo

- Number 1 is which compound?
  FePd3Pt3